First-principles (PBE-GGA) data for Ru3C after structural relaxation, as listed in Alexandria via LeMat-Bulk.

The space group is Pm-3m (No. 221) and the conventional cell measures 3.988, 3.988 and 3.988 Å, with angles of 90.00, 90.00 and 90.00 degrees. The asymmetric unit holds Ru at (0.000, 0.000, 0.500) and C at (0.000, 0.000, 0.000).

The calculation puts the spin magnetization at 1.8 μB/cell. For the formation energy, the calculation gives 93.2 kJ/mol of atoms. Its energy above the most stable polymorph in this dataset is 0.639 eV per atom.

***

First-principles (PBE-GGA) data for Ru3C after structural relaxation, as listed in Alexandria via LeMat-Bulk.

The space group is R-3m (No. 166, hexagonal axes) and the conventional cell measures 7.9769, 7.9769 and 2.8003 Å, with angles of 90.00, 90.00 and 120.00 degrees. The asymmetric unit holds Ru at (0.0000, 0.5000, 0.0000) and C at (0.0000, 0.0000, 0.0000).

The calculation puts the spin magnetization at 0.0 μB/cell. For the formation energy, the calculation gives 138.6 kJ/mol of atoms. Its energy above the most stable polymorph in this dataset is 1.110 eV per atom.

***

First-principles (PBE-GGA) data for Ru3C5 after structural relaxation, as listed in Alexandria via LeMat-Bulk.

The space group is P4/mmm (No. 123) and the conventional cell measures 2.791, 2.791 and 9.239 Å, with angles of 90.00, 90.00 and 90.00 degrees. The asymmetric unit holds Ru at (0.000, 0.000, 0.000), Ru at (0.500, 0.500, 0.340), C at (0.000, 0.000, 0.247), C at (0.000, 0.000, 0.500) and C at (0.500, 0.500, 0.113).

The calculation puts the spin magnetization at 0.5 μB/cell. For the formation energy, the calculation gives 159.9 kJ/mol of atoms. Its energy above the most stable polymorph in this dataset is 0.728 eV per atom.

***

First-principles (PBE-GGA) data for Ru2C after structural relaxation, as listed in Alexandria via LeMat-Bulk.

The space group is Pa-3 (No. 205) and the conventional cell measures 5.164, 5.164 and 5.164 Å, with angles of 90.00, 90.00 and 90.00 degrees. The asymmetric unit holds Ru at (0.160, 0.160, 0.160) and C at (0.000, 0.000, 0.500).

The calculation puts the spin magnetization at 0.0 μB/cell. For the formation energy, the calculation gives 44.2 kJ/mol of atoms. Its energy above the most stable polymorph in this dataset is 0.148 eV per atom.